# 1
Below is AcLa2TmS6 after structural relaxation, with properties calculated at the GGA-PBE level.

```
data_AcLa2TmS6
_space_group_name_H-M_alt 'R 3'
_space_group_IT_number 146
_space_group_name_Hall 'R 3'
_cell_length_a 7.2814
_cell_length_b 7.2814
_cell_length_c 18.9781
_cell_angle_alpha 90.00
_cell_angle_beta 90.00
_cell_angle_gamma 120.00
loop_
_atom_site_label
_atom_site_fract_x
_atom_site_fract_y
_atom_site_fract_z
Ac1 0.0000 0.0000 0.0000
La1 0.0000 0.0000 0.2112
La2 0.0000 0.0000 0.7175
Tm1 0.0000 0.0000 0.5098
S1 0.0157 0.3737 0.7761
S2 0.0573 0.6768 0.2732
```

## Properties
raw formation energy	-2.106	eV per atom
total DFT energy (no corrections)	-192.772	eV per cell



# 2
Below is K2BeFe after structural relaxation, with properties calculated at the GGA-PBE level.

```
data_K2BeFe
_space_group_name_H-M_alt 'P 4/m m m'
_space_group_IT_number 123
_space_group_name_Hall '-P 4 2'
_cell_length_a 4.3593
_cell_length_b 4.3593
_cell_length_c 5.4399
_cell_angle_alpha 90.00
_cell_angle_beta 90.00
_cell_angle_gamma 90.00
loop_
_atom_site_label
_atom_site_fract_x
_atom_site_fract_y
_atom_site_fract_z
K1 0.0000 0.5000 0.0000
Be1 0.0000 0.0000 0.5000
Fe1 0.5000 0.5000 0.5000
```

## Properties
ΔH_f (0 K)	1.296	eV per atom
total DFT energy (no corrections)	-9.201	eV per cell



# 3
Below is CuPPb after structural relaxation, with properties calculated at the GGA-PBE level.

```
data_CuPPb
_space_group_name_H-M_alt 'F m m 2'
_space_group_IT_number 42
_space_group_name_Hall 'F 2 -2'
_cell_length_a 4.4388
_cell_length_b 4.9305
_cell_length_c 11.2129
_cell_angle_alpha 90.00
_cell_angle_beta 90.00
_cell_angle_gamma 90.00
loop_
_atom_site_label
_atom_site_fract_x
_atom_site_fract_y
_atom_site_fract_z
Cu1 0.0000 0.0000 0.0000
P1 0.0000 0.0000 0.4440
Pb1 0.0000 0.0000 0.7126
```

## Properties
ΔH_f (0 K)	0.242	eV per atom
total DFT energy (no corrections)	-49.951	eV per cell